Entry 1:
A geometry-optimized K4YPa3O12 structure, computed with PBE-GGA.

Cell lengths 7.6030, 7.6030, 7.6030 Å; angles 109.47, 109.47, 109.47 degrees
Atoms (fractional coordinates):
O  0.0000  0.7392  0.7392
O  0.2500  0.7500  0.5000
K  0.0000  0.5000  0.0000
O  0.7392  0.7392  0.0000
O  0.2608  0.2608  0.0000
K  0.5000  0.0000  0.0000
O  0.7500  0.5000  0.2500
Pa  0.5000  0.5000  0.0000
O  0.5000  0.7500  0.2500
O  0.2608  0.0000  0.2608
O  0.0000  0.2608  0.2608
O  0.7500  0.2500  0.5000
O  0.5000  0.2500  0.7500
K  0.5000  0.5000  0.5000
Pa  0.0000  0.5000  0.5000
Pa  0.5000  0.0000  0.5000
O  0.2500  0.5000  0.7500
K  0.0000  0.0000  0.5000
O  0.7392  0.0000  0.7392
Y  0.0000  0.0000  0.0000

## Properties
Theoretical density (kg/m3): 5548
SG: Im-3m (229)



Entry 2:
A geometry-optimized K2PaZnO6 structure, computed with PBE-GGA.

Cell lengths 5.8741, 5.8737, 5.8975 Å; angles 60.01, 60.01, 89.90 degrees
Atoms (fractional coordinates):
O  0.2526  0.7474  0.0000
O  0.7474  0.2526  0.0000
K  0.2497  0.7503  0.5000
O  0.2490  0.2490  0.5013
O  0.2514  0.2514  0.0000
Zn  0.5000  0.5000  0.0000
Pa  0.0000  0.0000  0.0000
O  0.7510  0.7510  0.4987
K  0.7503  0.2497  0.5000
O  0.7486  0.7486  0.0000

## Properties
Theoretical density (kg/m3): 5425
SG: C2/m (12)



Entry 3:
A geometry-optimized KPa2ZnO8 structure, computed with PBE-GGA.

Cell lengths 5.1365, 5.1365, 7.9841 Å; angles 90.00, 90.00, 120.00 degrees
Atoms (fractional coordinates):
O  0.3613  0.1806  0.8688
O  0.3333  0.6667  0.6293
Pa  0.3333  0.6667  0.8644
O  0.6667  0.3333  0.3707
O  0.1806  0.8194  0.1312
O  0.8194  0.6387  0.8688
O  0.8194  0.1806  0.8688
K  0.0000  0.0000  0.5000
O  0.6387  0.8194  0.1312
O  0.1806  0.3613  0.1312
Zn  0.0000  0.0000  0.0000
Pa  0.6667  0.3333  0.1356

## Properties
Theoretical density (kg/m3): 6322
SG: P-3m1 (164)



Going through the records in order, we get energy relative to the elements, uncorrected values of -2.851 -1.860 -2.097 eV/atom.